Record 1
Tb2HoTh3S6, relaxed, DFT PBE; formation energy without anion corrections = -1.907 eV per atom; symmetry = No. 12; total magnetic moment = 0.00 Bohr magnetons per cell
1.0
-4.937 -2.276 -4.004
6.178 0.979 -2.542
1.244 -5.918 3.721
S Tb Th Ho
6 2 3 1
direct
0.078 0.409 0.234
0.748 0.748 0.235
0.591 0.922 0.766
0.409 0.078 0.234
0.252 0.252 0.765
0.922 0.591 0.766
0.666 0.334 0.000
0.334 0.666 0.000
0.832 0.168 0.500
0.168 0.832 0.500
0.500 0.500 0.500
0.000 0.000 0.000



Record 2
HoZrPt, relaxed, DFT PBE; symmetry = No. 107; energy of formation from the pure elements = -682 meV per atom; total magnetic moment = 0.00 Bohr magnetons per cell; ΔE to the lowest computed polymorph = 0.50 eV/f.u.
1.0
-2.191 -2.364 -1.255
-1.153 -0.629 3.200
-2.198 5.414 -1.597
Zr Pt Ho
1 1 1
direct
0.689 0.689 0.378
0.323 0.323 0.645
0.988 0.988 0.977



Record 3
Sr2ScP2N6, relaxed, DFT PBE; formation energy without anion corrections = -0.849 eV per atom; symmetry = No. 166; total magnetic moment = 0.00 Bohr magnetons per cell
1.0
5.648 0.000 0.000
2.824 4.891 0.000
2.824 1.630 5.755
N P Sr Sc
6 2 2 1
direct
0.746 0.263 0.246
0.737 0.254 0.754
0.254 0.254 0.754
0.263 0.746 0.246
0.254 0.737 0.754
0.746 0.746 0.246
0.413 0.413 0.760
0.587 0.587 0.240
0.790 0.790 0.631
0.210 0.210 0.369
0.000 0.000 0.000



Record 4
TbSm2Tm, relaxed, DFT PBE; symmetry = No. 44; energy of formation from the pure elements = 116 meV per atom; total magnetic moment = 0.00 Bohr magnetons per cell; ΔE to the lowest computed polymorph = 0.40 eV/f.u.
1.0
3.596 0.000 -0.962
-0.574 5.435 -2.147
-0.085 -0.460 6.889
Sm Tm Tb
2 1 1
direct
0.761 0.261 0.521
0.997 0.997 0.993
0.502 0.502 0.005
0.240 0.740 0.480



Record 5
AlZnH, relaxed, DFT PBE; symmetry = No. 12; total magnetic moment = 0.00 Bohr magnetons per cell; ΔE to the lowest computed polymorph = 0.00 eV/f.u.
1.0
2.901 0.000 0.000
1.450 4.177 -0.067
1.450 0.916 6.313
H Al Zn
2 2 2
direct
0.333 0.289 0.045
0.667 0.711 0.955
0.693 0.406 0.207
0.307 0.594 0.793
0.105 0.194 0.596
0.895 0.806 0.404



Record 6
Pr12YEr7, relaxed, DFT PBE; symmetry = No. 166; energy of formation from the pure elements = 236 meV per atom; total magnetic moment = 0.11 Bohr magnetons per cell; ΔE to the lowest computed polymorph = 0.40 eV/f.u.
1.0
6.142 0.000 -1.264
-3.195 9.860 -5.154
0.248 0.000 11.573
Pr Er Y
12 7 1
direct
0.416 0.000 0.352
0.584 0.000 0.648
0.584 0.648 0.000
0.500 0.588 0.412
0.088 0.588 0.176
0.912 0.824 0.412
0.912 0.412 0.824
0.500 0.412 0.588
0.088 0.176 0.588
0.064 0.648 0.648
0.936 0.352 0.352
0.416 0.352 0.000
0.125 0.000 0.756
0.125 0.756 0.000
0.875 0.244 0.000
0.369 0.244 0.244
0.631 0.756 0.756
0.875 0.000 0.244
0.500 0.000 0.000
0.000 0.000 0.000